Nd3SnI7 | PBE | relaxed

For the total energy, the calculation gives -0.1372 hartree per atom.

It has space group P3m1 (No. 156), with a = 9.1157 Å, b = 9.1157 Å, c = 7.2035 Å, α = 90.00°, β = 90.00° and γ = 120.00°. The inequivalent atoms are Nd at (0.0065, 0.5032, 0.0000), Sn at (0.3333, 0.6667, 0.2644), I at (0.1742, 0.3483, 0.7430), I at (0.3377, 0.1688, 0.2364) and I at (0.6667, 0.3333, 0.7429).

Nd3Sn2I2 | PBE | relaxed

For the total energy, the calculation gives -0.1582 hartree per atom.

It has space group C2/m (No. 12), with a = 15.040 Å, b = 3.889 Å, c = 8.076 Å, α = 90.00°, β = 100.49° and γ = 90.00°. The inequivalent atoms are Nd at (0.000, 0.000, 0.000), Nd at (0.224, 0.500, 0.292), Sn at (0.080, 0.000, 0.415) and I at (0.144, 0.500, 0.888).

Nd3SnI3 | PBE | relaxed

For the total energy, the calculation gives -0.1609 hartree per atom.

It has space group P2_1/m (No. 11), with a = 9.214 Å, b = 4.503 Å, c = 12.789 Å, α = 90.00°, β = 91.66° and γ = 90.00°. The inequivalent atoms are Nd at (0.113, 0.250, 0.126), Nd at (0.116, 0.250, 0.649), Nd at (0.342, 0.750, 0.881), Sn at (0.118, 0.250, 0.884), I at (0.136, 0.250, 0.385), I at (0.364, 0.750, 0.629) and I at (0.385, 0.750, 0.138).

Nd4SnI | PBE | relaxed

For the total energy, the calculation gives -0.1626 hartree per atom.

It has space group P-1 (No. 2), with a = 5.810 Å, b = 8.055 Å, c = 9.807 Å, α = 67.08°, β = 72.79° and γ = 89.99°. The inequivalent atoms are Nd at (0.072, 0.227, 0.356), Nd at (0.181, 0.828, 0.140), Nd at (0.320, 0.671, 0.860), Nd at (0.427, 0.273, 0.644), Sn at (0.250, 0.250, 0.000), I at (0.000, 0.500, 0.500) and I at (0.500, 0.000, 0.500).

Nd4Sn2I5 | PBE | relaxed

For the total energy, the calculation gives -0.1543 hartree per atom.

It has space group C2/m (No. 12), with a = 24.865 Å, b = 4.304 Å, c = 8.893 Å, α = 90.00°, β = 95.35° and γ = 90.00°. The inequivalent atoms are Nd at (0.021, 0.000, 0.284), Nd at (0.166, 0.500, 0.437), Sn at (0.055, 0.500, 0.558), I at (0.000, 0.500, 0.000), I at (0.142, 0.000, 0.175) and I at (0.212, 0.000, 0.684).

NdTlSnI6 | PBE | relaxed

For the total energy, the calculation gives -0.1182 hartree per atom.

It has space group P-31c (No. 163), with a = 8.1241 Å, b = 8.1241 Å, c = 15.2546 Å, α = 90.00°, β = 90.00° and γ = 120.00°. The inequivalent atoms are Nd at (0.3333, 0.6667, 0.2500), Tl at (0.0000, 0.0000, 0.0000), Sn at (0.3333, 0.6667, 0.7500) and I at (0.0057, 0.3641, 0.1314).

Sr2NdI | PBE | relaxed

For the total energy, the calculation gives -0.0983 hartree per atom. Its offset from the most stable computed form is 215 meV/atom.

It has space group R-3m (No. 166, hexagonal axes), with a = 3.9957 Å, b = 3.9957 Å, c = 37.7692 Å, α = 90.00°, β = 90.00° and γ = 120.00°. The inequivalent atoms are Sr at (0.0000, 0.0000, 0.0986), Nd at (0.0000, 0.0000, 0.0000) and I at (0.0000, 0.0000, 0.5000).

SrNdI5 | PBE | relaxed

For the total energy, the calculation gives -0.1301 hartree per atom.

It has space group P2_1/m (No. 11), with a = 9.509 Å, b = 4.604 Å, c = 15.163 Å, α = 90.00°, β = 94.22° and γ = 90.00°. The inequivalent atoms are Sr at (0.088, 0.250, 0.140), Nd at (0.415, 0.750, 0.348), I at (0.082, 0.750, 0.318), I at (0.146, 0.250, 0.925), I at (0.324, 0.250, 0.484), I at (0.354, 0.750, 0.138) and I at (0.382, 0.750, 0.704).

SrNdI | PBE | relaxed

For the total energy, the calculation gives -0.1214 hartree per atom.

It has space group Amm2 (No. 38), with a = 16.111 Å, b = 4.063 Å, c = 7.034 Å, α = 90.00°, β = 90.00° and γ = 90.00°. The inequivalent atoms are Sr at (0.191, 0.000, 0.000), Nd at (0.000, 0.000, 0.334), Nd at (0.500, 0.000, 0.999) and I at (0.358, 0.000, 0.333).

Sr2NdI | PBE | relaxed

For the total energy, the calculation gives -0.1062 hartree per atom. Its offset from the most stable computed form is 0 meV/atom.

It has space group P4/mmm (No. 123), with a = 3.955 Å, b = 3.955 Å, c = 10.635 Å, α = 90.00°, β = 90.00° and γ = 90.00°. The inequivalent atoms are Sr at (0.000, 0.000, 0.232), Nd at (0.500, 0.500, 0.500) and I at (0.500, 0.500, 0.000).

TbNdI4 | PBE | relaxed

For the total energy, the calculation gives -0.1417 hartree per atom.

It has space group P2/m (No. 10), with a = 7.280 Å, b = 4.185 Å, c = 8.375 Å, α = 90.00°, β = 106.46° and γ = 90.00°. The inequivalent atoms are Tb at (0.000, 0.000, 0.000), Nd at (0.500, 0.500, 0.000), I at (0.239, 0.500, 0.247) and I at (0.242, 0.000, 0.747).

TbNdI | PBE | relaxed

For the total energy, the calculation gives -0.1539 hartree per atom. Its offset from the most stable computed form is 0 meV/atom.

It has space group P3m1 (No. 156), with a = 3.8881 Å, b = 3.8881 Å, c = 7.7424 Å, α = 90.00°, β = 90.00° and γ = 120.00°. The inequivalent atoms are Tb at (0.0000, 0.0000, 0.0000), Nd at (0.3333, 0.6667, 0.6472) and I at (0.6667, 0.3333, 0.3141).